(1)
A plane-wave DFT calculation with GGA-PBE was carried out for Cu2PRh after structural relaxation.

It has space group Cmmm (No. 65), with a = 4.787 Å, b = 7.446 Å, c = 2.932 Å, α = 90.00°, β = 90.00° and γ = 90.00°. Symmetry generates all atoms from Cu at (0.250, 0.250, 0.000), P at (0.000, 0.000, 0.500) and Rh at (0.000, 0.500, 0.500).

The value obtained for the magnetic moment is 0.000 μB/atom. As for the formation energy: 0.0 meV/atom.

---

(2)
A plane-wave DFT calculation with GGA-PBE was carried out for CuPRh2 after structural relaxation.

It has space group F-43m (No. 216), with a = 6.011 Å, b = 6.011 Å, c = 6.011 Å, α = 90.00°, β = 90.00° and γ = 90.00°. Symmetry generates all atoms from Cu at (0.000, 0.000, 0.000), P at (0.250, 0.250, 0.750), Rh at (0.000, 0.000, 0.500) and Rh at (0.250, 0.250, 0.250).

The value obtained for the magnetic moment is 0.000 μB/atom. As for the formation energy: 105.1 meV/atom.

---

(3)
A plane-wave DFT calculation with GGA-PBE was carried out for CuPRh2 after structural relaxation.

It has space group I-4m2 (No. 119), with a = 3.643 Å, b = 3.643 Å, c = 8.005 Å, α = 90.00°, β = 90.00° and γ = 90.00°. Symmetry generates all atoms from Cu at (0.000, 0.000, 0.000), P at (0.000, 0.500, 0.750), Rh at (0.000, 0.000, 0.500) and Rh at (0.000, 0.500, 0.250).

The value obtained for the magnetic moment is 0.000 μB/atom. As for the formation energy: 10.9 meV/atom.

---

(4)
A plane-wave DFT calculation with GGA-PBE was carried out for CuP2Rh after structural relaxation.

It has space group P4mm (No. 99), with a = 2.865 Å, b = 2.865 Å, c = 7.302 Å, α = 90.00°, β = 90.00° and γ = 90.00°. Symmetry generates all atoms from Cu at (0.000, 0.000, 0.000), P at (0.000, 0.000, 0.556), P at (0.500, 0.500, 0.184) and Rh at (0.500, 0.500, 0.730).

The value obtained for the energy above the most stable polymorph in this dataset is 0.188 eV/atom. The value obtained for the magnetic moment is 0.000 μB/atom. As for the formation energy: 25.6 meV/atom.

---

(5)
A plane-wave DFT calculation with GGA-PBE was carried out for CuP2Rh after structural relaxation.

It has space group Cm (No. 8), with a = 7.944 Å, b = 3.438 Å, c = 4.682 Å, α = 90.00°, β = 112.75° and γ = 90.00°. Symmetry generates all atoms from Cu at (0.000, 0.000, 0.000), P at (0.104, 0.500, 0.723), P at (0.291, 0.500, 0.220) and Rh at (0.277, 0.000, 0.542).

The value obtained for the energy above the most stable polymorph in this dataset is 0.000 eV/atom. The value obtained for the magnetic moment is 0.000 μB/atom. As for the formation energy: -161.9 meV/atom.

---

(6)
A plane-wave DFT calculation with GGA-PBE was carried out for CuP2Rh after structural relaxation.

It has space group Fm-3m (No. 225), with a = 5.990 Å, b = 5.990 Å, c = 5.990 Å, α = 90.00°, β = 90.00° and γ = 90.00°. Symmetry generates all atoms from Cu at (0.000, 0.000, 0.000), P at (0.250, 0.250, 0.250) and Rh at (0.000, 0.000, 0.500).

The value obtained for the energy above the most stable polymorph in this dataset is 0.174 eV/atom. The value obtained for the magnetic moment is 0.000 μB/atom. As for the formation energy: 11.6 meV/atom.

---

(7)
A plane-wave DFT calculation with GGA-PBE was carried out for Cu2PRh after structural relaxation.

It has space group P4/mmm (No. 123), with a = 3.544 Å, b = 3.544 Å, c = 4.026 Å, α = 90.00°, β = 90.00° and γ = 90.00°. Symmetry generates all atoms from Cu at (0.000, 0.500, 0.000), P at (0.000, 0.000, 0.500) and Rh at (0.500, 0.500, 0.500).

The value obtained for the magnetic moment is 0.000 μB/atom. As for the formation energy: -45.5 meV/atom.

---

(8)
A plane-wave DFT calculation with GGA-PBE was carried out for Cu2PRh after structural relaxation.

It has space group Cmmm (No. 65), with a = 2.670 Å, b = 4.736 Å, c = 8.481 Å, α = 90.00°, β = 90.00° and γ = 90.00°. Symmetry generates all atoms from Cu at (0.000, 0.000, 0.240), P at (0.000, 0.500, 0.000) and Rh at (0.000, 0.500, 0.500).

The value obtained for the magnetic moment is 0.047 μB/atom. As for the formation energy: 224.9 meV/atom.

---

(9)
A plane-wave DFT calculation with GGA-PBE was carried out for CuPRh after structural relaxation.

It has space group Imm2 (No. 44), with a = 3.021 Å, b = 3.037 Å, c = 8.720 Å, α = 90.00°, β = 90.00° and γ = 90.00°. Symmetry generates all atoms from Cu at (0.000, 0.000, 0.000), P at (0.000, 0.000, 0.676) and Rh at (0.000, 0.000, 0.302).

The value obtained for the magnetic moment is 0.000 μB/atom. As for the formation energy: -201.9 meV/atom.

---

(10)
A plane-wave DFT calculation with GGA-PBE was carried out for Cu2PRh after structural relaxation.

It has space group F-43m (No. 216), with a = 5.881 Å, b = 5.881 Å, c = 5.881 Å, α = 90.00°, β = 90.00° and γ = 90.00°. Symmetry generates all atoms from Cu at (0.000, 0.000, 0.000), Cu at (0.250, 0.250, 0.250), P at (0.000, 0.000, 0.500) and Rh at (0.250, 0.250, 0.750).

The value obtained for the magnetic moment is 0.000 μB/atom. As for the formation energy: -24.7 meV/atom.

---

(11)
A plane-wave DFT calculation with GGA-PBE was carried out for CuPRh2 after structural relaxation.

It has space group P4/mmm (No. 123), with a = 4.139 Å, b = 4.139 Å, c = 3.043 Å, α = 90.00°, β = 90.00° and γ = 90.00°. Symmetry generates all atoms from Cu at (0.000, 0.000, 0.000), P at (0.500, 0.500, 0.000) and Rh at (0.000, 0.500, 0.500).

The value obtained for the magnetic moment is 0.000 μB/atom. As for the formation energy: -170.7 meV/atom.

---

(12)
A plane-wave DFT calculation with GGA-PBE was carried out for CuPRh2 after structural relaxation.

It has space group Pmm2 (No. 25), with a = 2.852 Å, b = 3.882 Å, c = 4.938 Å, α = 90.00°, β = 90.00° and γ = 90.00°. Symmetry generates all atoms from Cu at (0.000, 0.000, 0.000), P at (0.500, 0.500, 0.364), Rh at (0.000, 0.000, 0.499) and Rh at (0.500, 0.500, 0.868).

The value obtained for the magnetic moment is 0.000 μB/atom. As for the formation energy: -105.5 meV/atom.

---

(13)
A plane-wave DFT calculation with GGA-PBE was carried out for CuPRh after structural relaxation.

It has space group Fmm2 (No. 42), with a = 2.835 Å, b = 4.761 Å, c = 12.192 Å, α = 90.00°, β = 90.00° and γ = 90.00°. Symmetry generates all atoms from Cu at (0.000, 0.000, 0.000), P at (0.000, 0.000, 0.337) and Rh at (0.000, 0.000, 0.684).

The value obtained for the magnetic moment is 0.000 μB/atom. As for the formation energy: 109.1 meV/atom.

---

(14)
A plane-wave DFT calculation with GGA-PBE was carried out for CuP2Rh after structural relaxation.

It has space group F-43m (No. 216), with a = 6.003 Å, b = 6.003 Å, c = 6.003 Å, α = 90.00°, β = 90.00° and γ = 90.00°. Symmetry generates all atoms from Cu at (0.000, 0.000, 0.000), P at (0.000, 0.000, 0.500), P at (0.250, 0.250, 0.750) and Rh at (0.250, 0.250, 0.250).

The value obtained for the energy above the most stable polymorph in this dataset is 0.463 eV/atom. The value obtained for the magnetic moment is 0.000 μB/atom. As for the formation energy: 301.0 meV/atom.

---

(15)
A plane-wave DFT calculation with GGA-PBE was carried out for Cu2PRh after structural relaxation.

It has space group Immm (No. 71), with a = 2.942 Å, b = 3.989 Å, c = 8.629 Å, α = 90.00°, β = 90.00° and γ = 90.00°. Symmetry generates all atoms from Cu at (0.000, 0.000, 0.222), P at (0.000, 0.500, 0.500) and Rh at (0.000, 0.500, 0.000).

The value obtained for the magnetic moment is 0.000 μB/atom. As for the formation energy: -114.6 meV/atom.